An optimized crystal structure of Cu4Pd6Au. Source: Alexandria, functional PBE-GGA.

Summary:
- Size of the total moment: 0.00 μB per cell
- Energy relative to the elements: 0.300 eV/atom
- D(E_F): 12.0 states/eV/cell

Cell lengths 6.558, 6.558, 6.558 Å; angles 84.26, 123.37, 123.37 degrees
Element x y z (fractional)
Cu 0.498 0.393 0.393
Cu 0.000 0.106 0.607
Cu 0.502 0.894 0.894
Cu 0.000 0.607 0.106
Pd 0.305 0.533 0.533
Pd 0.695 0.228 0.228
Pd 0.500 0.500 0.000
Pd 0.000 0.772 0.467
Pd 0.500 0.000 0.500
Pd 0.000 0.467 0.772
Au 0.000 0.000 0.000